Record 1
Density functional theory data (PBE) for a relaxed structure of Nd2TmCu4.

Cell: 5.570 5.570 6.792 Å, 106.88 106.88 47.13°
Positions (direct):
Nd 0.148 0.148 0.227
Nd 0.852 0.852 0.773
Tm 0.500 0.500 0.500
Cu 0.149 0.149 0.755
Cu 0.400 0.400 0.075
Cu 0.600 0.600 0.925
Cu 0.851 0.851 0.245

Calculated values
The value obtained for the total energy is -4.513 eV/atom. For the formation energy, the calculation gives -0.172 eV/atom. For the total magnetization, the calculation gives 0.0 μB/f.u. The volume comes out at 20.9 Å³/atom.

---

Record 2
Density functional theory data (PBE) for a relaxed structure of Nd2TmCu9.

Cell: 9.019 9.019 9.019 Å, 33.29 33.29 33.29°
Positions (direct):
Nd 0.139 0.139 0.139
Nd 0.861 0.861 0.861
Tm 0.000 0.000 0.000
Cu 0.081 0.578 0.578
Cu 0.332 0.332 0.332
Cu 0.422 0.422 0.919
Cu 0.422 0.919 0.422
Cu 0.500 0.500 0.500
Cu 0.578 0.081 0.578
Cu 0.578 0.578 0.081
Cu 0.668 0.668 0.668
Cu 0.919 0.422 0.422

Calculated values
The value obtained for the total energy is -4.389 eV/atom. For the formation energy, the calculation gives -0.150 eV/atom. For the total magnetization, the calculation gives 0.0 μB/f.u. The volume comes out at 16.4 Å³/atom.

---

Record 3
Density functional theory data (PBE) for a relaxed structure of NdTmCu10.

Cell: 4.108 5.048 8.702 Å, 90.00 90.00 90.00°
Positions (direct):
Nd 0.000 0.000 0.000
Tm 0.000 0.500 0.500
Cu 0.000 0.000 0.338
Cu 0.000 0.000 0.662
Cu 0.000 0.500 0.173
Cu 0.000 0.500 0.827
Cu 0.500 0.000 0.500
Cu 0.500 0.253 0.255
Cu 0.500 0.253 0.745
Cu 0.500 0.500 0.000
Cu 0.500 0.747 0.255
Cu 0.500 0.747 0.745

Calculated values
The value obtained for the total energy is -4.362 eV/atom. For the formation energy, the calculation gives -0.179 eV/atom. For the total magnetization, the calculation gives 0.0 μB/f.u. The volume comes out at 15.0 Å³/atom.

---

Record 4
Density functional theory data (PBE) for a relaxed structure of Nd4TmCu5.

Cell: 3.536 3.536 17.979 Å, 90.00 90.00 90.00°
Positions (direct):
Nd 0.000 0.000 0.102
Nd 0.000 0.000 0.306
Nd 0.000 0.000 0.694
Nd 0.000 0.000 0.898
Tm 0.000 0.000 0.500
Cu 0.500 0.500 0.000
Cu 0.500 0.500 0.203
Cu 0.500 0.500 0.412
Cu 0.500 0.500 0.588
Cu 0.500 0.500 0.797

Calculated values
The value obtained for the total energy is -4.571 eV/atom. For the formation energy, the calculation gives -0.169 eV/atom. For the total magnetization, the calculation gives 0.0 μB/f.u. The volume comes out at 22.5 Å³/atom.